No. 1
{"formula": "NdZn2Pd", "functional": "GGA-PBE", "state": "relaxed", "lattice_angstrom": [[3.349, 0.000, 0.000], [0.000, 3.349, 0.000], [0.000, 0.000, 6.864]], "species": ["Nd", "Zn", "Zn", "Pd"], "fractional_positions": [[0.000, 0.000, 0.000], [0.500, 0.500, 0.310], [0.500, 0.500, 0.690], [0.000, 0.000, 0.500]], "dft_energy_ev_per_atom": -3.53}

=====

No. 2
{"formula": "Nd3Zn3Pd", "functional": "GGA-PBE", "state": "relaxed", "lattice_angstrom": [[-1.870, 2.273, 9.858], [1.870, -2.273, 9.858], [1.870, 2.273, -9.858]], "species": ["Nd", "Nd", "Nd", "Zn", "Zn", "Zn", "Pd"], "fractional_positions": [[0.000, 0.000, 0.000], [0.377, 0.377, 0.000], [0.697, 0.197, 0.500], [0.125, 0.625, 0.500], [0.554, 0.554, 0.000], [0.830, 0.830, 0.000], [0.257, 0.757, 0.500]], "dft_energy_ev_per_atom": -3.77}

=====

No. 3
{"formula": "NdZn2Pd4", "functional": "GGA-PBE", "state": "relaxed", "lattice_angstrom": [[-3.951, 3.951, 2.548], [3.951, -3.951, 2.548], [3.951, 3.951, -2.548]], "species": ["Nd", "Zn", "Zn", "Pd", "Pd", "Pd", "Pd"], "fractional_positions": [[0.000, 0.000, 0.000], [0.250, 0.750, 0.500], [0.750, 0.250, 0.500], [0.268, 0.500, 0.768], [0.500, 0.268, 0.768], [0.500, 0.732, 0.232], [0.732, 0.500, 0.232]], "dft_energy_ev_per_atom": -4.07}

=====

No. 4
{"formula": "Nd12Zn6Pd", "functional": "GGA-PBE", "state": "relaxed", "lattice_angstrom": [[6.571, 3.794, 4.024], [-6.571, 3.794, 4.024], [0.000, -7.588, 4.024]], "species": ["Nd", "Nd", "Nd", "Nd", "Nd", "Nd", "Nd", "Nd", "Nd", "Nd", "Nd", "Nd", "Zn", "Zn", "Zn", "Zn", "Zn", "Zn", "Pd"], "fractional_positions": [[0.020, 0.938, 0.672], [0.062, 0.328, 0.980], [0.191, 0.558, 0.418], [0.328, 0.980, 0.062], [0.418, 0.191, 0.558], [0.442, 0.582, 0.809], [0.558, 0.418, 0.191], [0.582, 0.809, 0.442], [0.672, 0.020, 0.938], [0.809, 0.442, 0.582], [0.938, 0.672, 0.020], [0.980, 0.062, 0.328], [0.131, 0.313, 0.644], [0.313, 0.644, 0.131], [0.356, 0.869, 0.687], [0.644, 0.131, 0.313], [0.687, 0.356, 0.869], [0.869, 0.687, 0.356], [0.000, 0.000, 0.000]], "dft_energy_ev_per_atom": -3.69}

=====

No. 5
{"formula": "Nd3Zn5Pd6", "functional": "GGA-PBE", "state": "relaxed", "lattice_angstrom": [[4.442, 0.000, 0.000], [0.000, 13.084, 0.000], [0.000, 0.000, 9.073]], "species": ["Nd", "Nd", "Nd", "Nd", "Nd", "Nd", "Zn", "Zn", "Zn", "Zn", "Zn", "Zn", "Zn", "Zn", "Zn", "Zn", "Pd", "Pd", "Pd", "Pd", "Pd", "Pd", "Pd", "Pd", "Pd", "Pd", "Pd", "Pd"], "fractional_positions": [[0.250, 0.049, 0.248], [0.250, 0.451, 0.248], [0.250, 0.750, 0.237], [0.750, 0.250, 0.763], [0.750, 0.549, 0.752], [0.750, 0.951, 0.752], [0.250, 0.089, 0.891], [0.250, 0.411, 0.891], [0.250, 0.629, 0.528], [0.250, 0.750, 0.761], [0.250, 0.871, 0.528], [0.750, 0.129, 0.472], [0.750, 0.250, 0.239], [0.750, 0.371, 0.472], [0.750, 0.589, 0.109], [0.750, 0.911, 0.109], [0.250, 0.069, 0.604], [0.250, 0.250, 0.068], [0.250, 0.250, 0.427], [0.250, 0.431, 0.604], [0.250, 0.612, 0.969], [0.250, 0.888, 0.969], [0.750, 0.112, 0.031], [0.750, 0.388, 0.031], [0.750, 0.569, 0.396], [0.750, 0.750, 0.573], [0.750, 0.750, 0.932], [0.750, 0.931, 0.396]], "dft_energy_ev_per_atom": -4.36}

=====

No. 6
{"formula": "Nd2Zn3Pd5", "functional": "GGA-PBE", "state": "relaxed", "lattice_angstrom": [[-4.922, 6.745, 2.824], [4.922, -6.745, 2.824], [4.922, 6.745, -2.824]], "species": ["Nd", "Nd", "Nd", "Nd", "Zn", "Zn", "Zn", "Zn", "Zn", "Zn", "Pd", "Pd", "Pd", "Pd", "Pd", "Pd", "Pd", "Pd", "Pd", "Pd"], "fractional_positions": [[0.142, 0.238, 0.381], [0.358, 0.738, 0.096], [0.642, 0.262, 0.904], [0.858, 0.762, 0.619], [0.155, 0.930, 0.086], [0.250, 0.750, 0.500], [0.345, 0.430, 0.775], [0.655, 0.570, 0.225], [0.750, 0.250, 0.500], [0.845, 0.070, 0.914], [0.056, 0.750, 0.306], [0.077, 0.701, 0.777], [0.250, 0.250, 0.000], [0.423, 0.201, 0.624], [0.444, 0.750, 0.694], [0.556, 0.250, 0.306], [0.577, 0.799, 0.376], [0.750, 0.750, 0.000], [0.923, 0.299, 0.223], [0.944, 0.250, 0.694]], "relative_energy_mev_per_atom": 0}

=====

No. 7
{"formula": "NdZnPd3", "functional": "GGA-PBE", "state": "relaxed", "lattice_angstrom": [[6.138, 0.000, 0.000], [-3.069, 5.316, 0.000], [0.000, 0.000, 12.179]], "species": ["Nd", "Nd", "Nd", "Nd", "Zn", "Zn", "Zn", "Zn", "Pd", "Pd", "Pd", "Pd", "Pd", "Pd", "Pd", "Pd", "Pd", "Pd", "Pd", "Pd"], "fractional_positions": [[0.000, 0.000, 0.000], [0.000, 0.000, 0.500], [0.333, 0.667, 0.250], [0.667, 0.333, 0.750], [0.333, 0.667, 0.639], [0.333, 0.667, 0.861], [0.667, 0.333, 0.139], [0.667, 0.333, 0.361], [0.000, 0.500, 0.000], [0.000, 0.500, 0.500], [0.142, 0.284, 0.750], [0.142, 0.858, 0.750], [0.284, 0.142, 0.250], [0.500, 0.000, 0.000], [0.500, 0.000, 0.500], [0.500, 0.500, 0.000], [0.500, 0.500, 0.500], [0.716, 0.858, 0.750], [0.858, 0.142, 0.250], [0.858, 0.716, 0.250]], "relative_energy_mev_per_atom": 0}

=====

No. 8
{"formula": "Nd2Zn9Pd6", "functional": "GGA-PBE", "state": "relaxed", "lattice_angstrom": [[5.396, 0.000, 0.000], [-2.698, 4.673, 0.000], [0.000, 0.000, 12.680]], "species": ["Nd", "Nd", "Zn", "Zn", "Zn", "Zn", "Zn", "Zn", "Zn", "Zn", "Zn", "Pd", "Pd", "Pd", "Pd", "Pd", "Pd"], "fractional_positions": [[0.000, 0.000, 0.165], [0.000, 0.000, 0.835], [0.000, 0.500, 0.000], [0.000, 0.500, 0.339], [0.000, 0.500, 0.661], [0.500, 0.000, 0.000], [0.500, 0.000, 0.339], [0.500, 0.000, 0.661], [0.500, 0.500, 0.000], [0.500, 0.500, 0.339], [0.500, 0.500, 0.661], [0.333, 0.667, 0.172], [0.333, 0.667, 0.500], [0.333, 0.667, 0.828], [0.667, 0.333, 0.172], [0.667, 0.333, 0.500], [0.667, 0.333, 0.828]], "dft_energy_ev_per_atom": -3.53}

=====

Taking the records one at a time from the top gives magnetic moment values of 0.0; 0.0; 0.0; 0.0; 0.0; 0.0; 0.0; 0.0 μB per formula unit.